1.
! Ba2NaCrPt PBE optimized geometry; values from VASP
! - Mass density: 4.53 Mg/m³
! - Density of states at the Fermi level: 0.64 states/eV per atom
! - Energy relative to the elements: -0.001 eV/atom
! - Space-group type: P4/mmm (123)
! - Calculated volume: 199.6 Å³ per cell
! - DFT total energy: -4.167 eV/atom
&SYSTEM
  ibrav = 0, nat = 5, ntyp = 4
/
ATOMIC_SPECIES
Ba 137.33 Ba.upf
Na 22.99 Na.upf
Cr 52.00 Cr.upf
Pt 195.08 Pt.upf
ATOMIC_POSITIONS crystal
Ba 0.000 0.500 0.000
Ba 0.500 0.000 0.000
Na 0.000 0.000 0.500
Cr 0.500 0.500 0.500
Pt 0.500 0.500 0.000
CELL_PARAMETERS angstrom
6.249 0.000 0.000
0.000 6.249 0.000
0.000 0.000 5.111

=====

2.
! RbBa2NaCr PBE optimized geometry; values from VASP
! - Mass density: 2.93 Mg/m³
! - Density of states at the Fermi level: 1.49 states/eV per atom
! - Energy relative to the elements: 0.902 eV/atom
! - Space-group type: P4/mmm (123)
! - Calculated volume: 246.7 Å³ per cell
! - DFT total energy: -2.249 eV/atom
&SYSTEM
  ibrav = 0, nat = 5, ntyp = 4
/
ATOMIC_SPECIES
Rb 85.47 Rb.upf
Ba 137.33 Ba.upf
Na 22.99 Na.upf
Cr 52.00 Cr.upf
ATOMIC_POSITIONS crystal
Rb 0.000 0.000 0.000
Ba 0.000 0.500 0.500
Ba 0.500 0.000 0.500
Na 0.500 0.500 0.000
Cr 0.000 0.000 0.500
CELL_PARAMETERS angstrom
5.961 0.000 0.000
0.000 5.961 0.000
0.000 0.000 6.944

=====

3.
! Ba2NaCrRh PBE optimized geometry; values from VASP
! - Mass density: 4.04 Mg/m³
! - Density of states at the Fermi level: 0.94 states/eV per atom
! - Energy relative to the elements: 0.414 eV/atom
! - Space-group type: P4/mmm (123)
! - Calculated volume: 186.2 Å³ per cell
! - DFT total energy: -4.014 eV/atom
&SYSTEM
  ibrav = 0, nat = 5, ntyp = 4
/
ATOMIC_SPECIES
Ba 137.33 Ba.upf
Na 22.99 Na.upf
Cr 52.00 Cr.upf
Rh 102.91 Rh.upf
ATOMIC_POSITIONS crystal
Ba 0.000 0.500 0.000
Ba 0.500 0.000 0.000
Na 0.000 0.000 0.500
Cr 0.500 0.500 0.000
Rh 0.500 0.500 0.500
CELL_PARAMETERS angstrom
6.418 0.000 0.000
0.000 6.418 0.000
0.000 0.000 4.519

=====

4.
! BaNaCrS3 PBE optimized geometry; values from VASP
! - Uncorrected formation energy: -1.166 eV/atom
! - Mass density: 3.40 Mg/m³
! - Density of states at the Fermi level: 0.26 states/eV per atom
! - Space-group type: Cmcm (63)
! - Calculated volume: 301.8 Å³ per cell
! - DFT total energy: -5.373 eV/atom
&SYSTEM
  ibrav = 0, nat = 12, ntyp = 4
/
ATOMIC_SPECIES
Ba 137.33 Ba.upf
Na 22.99 Na.upf
Cr 52.00 Cr.upf
S 32.06 S.upf
ATOMIC_POSITIONS crystal
Ba 0.208 0.792 0.750
Ba 0.792 0.208 0.250
Na 0.440 0.560 0.250
Na 0.560 0.440 0.750
Cr 0.056 0.944 0.250
Cr 0.944 0.056 0.750
S 0.214 0.214 0.000
S 0.214 0.214 0.500
S 0.234 0.766 0.250
S 0.766 0.234 0.750
S 0.786 0.786 0.000
S 0.786 0.786 0.500
CELL_PARAMETERS angstrom
3.537 -6.490 0.000
3.537 6.490 0.000
0.000 0.000 6.574

=====

5.
! BaNaCrSe3 PBE optimized geometry; values from VASP
! - Uncorrected formation energy: -1.060 eV/atom
! - Mass density: 4.24 Mg/m³
! - Density of states at the Fermi level: 0.29 states/eV per atom
! - Space-group type: Cmcm (63)
! - Calculated volume: 351.4 Å³ per cell
! - DFT total energy: -4.946 eV/atom
&SYSTEM
  ibrav = 0, nat = 12, ntyp = 4
/
ATOMIC_SPECIES
Ba 137.33 Ba.upf
Na 22.99 Na.upf
Cr 52.00 Cr.upf
Se 78.96 Se.upf
ATOMIC_POSITIONS crystal
Ba 0.198 0.802 0.750
Ba 0.802 0.198 0.250
Na 0.438 0.562 0.250
Na 0.562 0.438 0.750
Cr 0.057 0.943 0.250
Cr 0.943 0.057 0.750
Se 0.216 0.216 0.000
Se 0.216 0.216 0.500
Se 0.236 0.764 0.250
Se 0.764 0.236 0.750
Se 0.784 0.784 0.000
Se 0.784 0.784 0.500
CELL_PARAMETERS angstrom
3.728 -6.880 0.000
3.728 6.880 0.000
0.000 0.000 6.851

=====

6.
! BaNbCr3 PBE optimized geometry; values from VASP
! - Mass density: 5.45 Mg/m³
! - Density of states at the Fermi level: 0.84 states/eV per atom
! - Energy relative to the elements: 2.583 eV/atom
! - Space-group type: Pm-3m (221)
! - Calculated volume: 117.6 Å³ per cell
! - DFT total energy: -5.589 eV/atom
! - E above lowest polymorph: 1.450 eV per atom
&SYSTEM
  ibrav = 0, nat = 5, ntyp = 3
/
ATOMIC_SPECIES
Ba 137.33 Ba.upf
Nb 92.91 Nb.upf
Cr 52.00 Cr.upf
ATOMIC_POSITIONS crystal
Ba 0.000 0.000 0.000
Nb 0.500 0.500 0.500
Cr 0.000 0.000 0.500
Cr 0.000 0.500 0.000
Cr 0.500 0.000 0.000
CELL_PARAMETERS angstrom
4.900 0.000 0.000
0.000 4.900 0.000
0.000 0.000 4.900

=====

7.
! Ba2NbCr PBE optimized geometry; values from VASP
! - Mass density: 4.02 Mg/m³
! - Density of states at the Fermi level: 1.16 states/eV per atom
! - Energy relative to the elements: 1.080 eV/atom
! - Space-group type: I-42d (122)
! - Calculated volume: 346.7 Å³ per cell
! - DFT total energy: -4.805 eV/atom
! - E above lowest polymorph: 0.000 eV per atom
&SYSTEM
  ibrav = 0, nat = 8, ntyp = 3
/
ATOMIC_SPECIES
Ba 137.33 Ba.upf
Nb 92.91 Nb.upf
Cr 52.00 Cr.upf
ATOMIC_POSITIONS crystal
Ba 0.375 0.188 0.313
Ba 0.812 0.125 0.187
Ba 0.875 0.062 0.687
Ba 0.938 0.625 0.813
Nb 0.250 0.750 0.500
Nb 0.500 0.500 0.000
Cr 0.000 0.000 0.000
Cr 0.750 0.250 0.500
CELL_PARAMETERS angstrom
-6.262 6.262 2.210
6.262 -6.262 2.210
6.262 6.262 -2.210

=====

8.
! BaNbCr3 PBE optimized geometry; values from VASP
! - Mass density: 5.20 Mg/m³
! - Density of states at the Fermi level: 0.70 states/eV per atom
! - Energy relative to the elements: 1.133 eV/atom
! - Space-group type: Pm-3m (221)
! - Calculated volume: 123.4 Å³ per cell
! - DFT total energy: -7.040 eV/atom
! - E above lowest polymorph: 0.000 eV per atom
&SYSTEM
  ibrav = 0, nat = 5, ntyp = 3
/
ATOMIC_SPECIES
Ba 137.33 Ba.upf
Nb 92.91 Nb.upf
Cr 52.00 Cr.upf
ATOMIC_POSITIONS crystal
Ba 0.000 0.000 0.000
Nb 0.500 0.500 0.500
Cr 0.000 0.500 0.500
Cr 0.500 0.000 0.500
Cr 0.500 0.500 0.000
CELL_PARAMETERS angstrom
4.979 0.000 0.000
0.000 4.979 0.000
0.000 0.000 4.979